This record from Alexandria via LeMat-Bulk describes Cs3NaNi2F9 after structural relaxation. The functional is GGA+U.

Structure (POSCAR):
```
Cs3NaNi2F9
1.0
6.112 0.000 0.000
-3.056 5.293 0.000
0.000 0.000 7.541
Cs Na Ni F
3 1 2 9
direct
0.000 0.000 0.000
0.333 0.667 0.657
0.667 0.333 0.343
0.000 0.000 0.500
0.333 0.667 0.156
0.667 0.333 0.844
0.000 0.500 0.000
0.182 0.365 0.305
0.182 0.818 0.305
0.365 0.182 0.695
0.500 0.000 0.000
0.500 0.500 0.000
0.635 0.818 0.305
0.818 0.182 0.695
0.818 0.635 0.695
```

- Calculated total energy: -4.10 eV/atom
- SG: P-3m1